# Dy2Th3Rh2

A geometry-optimized Dy2Th3Rh2 structure (PBE-GGA, Alexandria via LeMat-Bulk).

a = 3.836 Å, b = 6.184 Å, c = 9.116 Å
α = 68.93°, β = 77.85°, γ = 71.93°
Fractional positions:
Th 0.621 0.196 0.562
Rh 0.859 0.078 0.204
Dy 0.837 0.529 0.797
Th 0.379 0.804 0.438
Rh 0.141 0.922 0.796
Dy 0.163 0.471 0.203
Th 0.500 0.000 0.000

Values from the calculation:
D(E_F)	6.9	states/eV/cell
total moment	0.00	μB/cell
calculated formation energy	-12.38	kcal/mol of atoms
E	-7.132	eV per atom



# Dy2ThRh3

A geometry-optimized Dy2ThRh3 structure (PBE-GGA, Alexandria via LeMat-Bulk).

a = 5.611 Å, b = 6.888 Å, c = 7.521 Å
α = 102.26°, β = 111.90°, γ = 90.00°
Fractional positions:
Rh 0.260 0.509 0.318
Dy 0.782 0.642 0.355
Dy 0.218 0.358 0.645
Rh 0.605 0.750 0.000
Dy 0.426 0.858 0.645
Th 0.123 0.750 0.000
Dy 0.574 0.142 0.355
Rh 0.942 0.991 0.682
Rh 0.740 0.491 0.682
Rh 0.395 0.250 0.000
Rh 0.058 0.009 0.318
Th 0.877 0.250 0.000

Values from the calculation:
D(E_F)	5.9	states/eV/cell
total moment	0.00	μB/cell
calculated formation energy	-18.82	kcal/mol of atoms
E	-7.263	eV per atom
relative energy among the computed polymorphs	37	meV/atom



# DyThRh2

A geometry-optimized DyThRh2 structure (PBE-GGA, Alexandria via LeMat-Bulk).

a = 3.523 Å, b = 4.941 Å, c = 4.941 Å
α = 90.00°, β = 90.00°, γ = 90.00°
Fractional positions:
Th 0.500 0.000 0.000
Rh 0.000 0.000 0.500
Dy 0.500 0.500 0.500
Rh 0.000 0.500 0.000

Values from the calculation:
D(E_F)	1.5	states/eV/cell
total moment	0.00	μB/cell
calculated formation energy	-18.97	kcal/mol of atoms
E	-7.504	eV per atom
relative energy among the computed polymorphs	98	meV/atom



# DyThRh2

A geometry-optimized DyThRh2 structure (PBE-GGA, Alexandria via LeMat-Bulk).

a = 4.959 Å, b = 4.959 Å, c = 4.959 Å
α = 60.00°, β = 60.00°, γ = 60.00°
Fractional positions:
Rh 0.250 0.250 0.250
Rh 0.750 0.750 0.750
Th 0.500 0.500 0.500
Dy 0.000 0.000 0.000

Values from the calculation:
D(E_F)	2.9	states/eV/cell
total moment	0.00	μB/cell
calculated formation energy	-18.60	kcal/mol of atoms
E	-7.488	eV per atom
relative energy among the computed polymorphs	114	meV/atom



# DyThRh2

A geometry-optimized DyThRh2 structure (PBE-GGA, Alexandria via LeMat-Bulk).

a = 4.036 Å, b = 4.036 Å, c = 7.012 Å
α = 73.28°, β = 73.28°, γ = 60.00°
Fractional positions:
Rh 0.751 0.751 0.747
Rh 0.249 0.249 0.253
Th 0.500 0.500 0.500
Dy 0.000 0.000 0.000

Values from the calculation:
D(E_F)	2.9	states/eV/cell
total moment	0.00	μB/cell
calculated formation energy	-18.26	kcal/mol of atoms
E	-7.473	eV per atom
relative energy among the computed polymorphs	128	meV/atom



# Dy2ThRh9

A geometry-optimized Dy2ThRh9 structure (PBE-GGA, Alexandria via LeMat-Bulk).

a = 5.273 Å, b = 5.273 Å, c = 9.324 Å
α = 73.58°, β = 73.58°, γ = 60.00°
Fractional positions:
Rh 0.500 0.500 0.500
Rh 0.917 0.416 0.250
Rh 0.416 0.416 0.250
Dy 0.140 0.140 0.580
Rh 0.083 0.584 0.750
Dy 0.860 0.860 0.420
Rh 0.416 0.917 0.250
Rh 0.584 0.083 0.750
Rh 0.584 0.584 0.750
Rh 0.333 0.333 0.001
Rh 0.667 0.667 0.999
Th 0.000 0.000 0.000

Values from the calculation:
D(E_F)	9.7	states/eV/cell
total moment	0.00	μB/cell
calculated formation energy	-14.34	kcal/mol of atoms
E	-7.521	eV per atom



# DyTh2Rh

A geometry-optimized DyTh2Rh structure (PBE-GGA, Alexandria via LeMat-Bulk).

a = 3.787 Å, b = 6.182 Å, c = 10.015 Å
α = 90.00°, β = 90.00°, γ = 107.74°
Fractional positions:
Th 0.637 0.274 0.059
Rh 0.208 0.417 0.250
Th 0.363 0.726 0.941
Rh 0.792 0.583 0.750
Th 0.637 0.274 0.441
Th 0.363 0.726 0.559
Dy 0.916 0.832 0.250
Dy 0.084 0.168 0.750

Values from the calculation:
D(E_F)	10.1	states/eV/cell
total moment	0.00	μB/cell
calculated formation energy	-10.76	kcal/mol of atoms
E	-7.165	eV per atom
relative energy among the computed polymorphs	0	meV/atom



# DyTiRh2

A geometry-optimized DyTiRh2 structure (PBE-GGA, Alexandria via LeMat-Bulk).

a = 4.621 Å, b = 4.621 Å, c = 4.621 Å
α = 60.00°, β = 60.00°, γ = 60.00°
Fractional positions:
Dy 0.000 0.000 0.000
Rh 0.750 0.750 0.750
Rh 0.250 0.250 0.250
Ti 0.500 0.500 0.500

Values from the calculation:
D(E_F)	3.0	states/eV/cell
total moment	0.00	μB/cell
calculated formation energy	-16.01	kcal/mol of atoms
E	-7.494	eV per atom
relative energy among the computed polymorphs	75	meV/atom



# DyTiRh2

A geometry-optimized DyTiRh2 structure (PBE-GGA, Alexandria via LeMat-Bulk).

a = 3.187 Å, b = 4.685 Å, c = 4.685 Å
α = 90.00°, β = 90.00°, γ = 90.00°
Fractional positions:
Ti 0.500 0.000 0.000
Dy 0.500 0.500 0.500
Rh 0.000 0.000 0.500
Rh 0.000 0.500 0.000

Values from the calculation:
D(E_F)	4.0	states/eV/cell
total moment	0.00	μB/cell
calculated formation energy	-15.58	kcal/mol of atoms
E	-7.476	eV per atom
relative energy among the computed polymorphs	94	meV/atom



# DyTiRh2

A geometry-optimized DyTiRh2 structure (PBE-GGA, Alexandria via LeMat-Bulk).

a = 3.179 Å, b = 3.179 Å, c = 6.910 Å
α = 90.00°, β = 90.00°, γ = 90.00°
Fractional positions:
Rh 0.000 0.000 0.213
Ti 0.500 0.500 0.000
Rh 0.000 0.000 0.787
Dy 0.500 0.500 0.500

Values from the calculation:
D(E_F)	3.9	states/eV/cell
total moment	0.00	μB/cell
calculated formation energy	-17.75	kcal/mol of atoms
E	-7.570	eV per atom
relative energy among the computed polymorphs	0	meV/atom



# DyTiRh

A geometry-optimized DyTiRh structure (PBE-GGA, Alexandria via LeMat-Bulk).

a = 3.284 Å, b = 3.284 Å, c = 5.991 Å
α = 105.91°, β = 105.91°, γ = 90.00°
Each line ends with the local moment (μB).
Fractional positions:
Dy 0.991 0.991 0.983  0.21
Rh 0.308 0.308 0.616  0.03
Ti 0.701 0.701 0.401  0.39

Values from the calculation:
D(E_F)	4.0	states/eV/cell
total moment	0.79	μB/cell
calculated formation energy	-9.58	kcal/mol of atoms
E	-7.031	eV per atom



# DyTi4Rh5

A geometry-optimized DyTi4Rh5 structure (PBE-GGA, Alexandria via LeMat-Bulk).

a = 3.121 Å, b = 3.121 Å, c = 16.458 Å
α = 90.00°, β = 90.00°, γ = 90.00°
Fractional positions:
Ti 0.000 0.000 0.784
Rh 0.500 0.500 0.500
Rh 0.500 0.500 0.315
Rh 0.500 0.500 0.131
Ti 0.000 0.000 0.594
Dy 0.000 0.000 0.000
Rh 0.500 0.500 0.869
Ti 0.000 0.000 0.216
Rh 0.500 0.500 0.685
Ti 0.000 0.000 0.406

Values from the calculation:
D(E_F)	9.3	states/eV/cell
total moment	0.00	μB/cell
calculated formation energy	-17.60	kcal/mol of atoms
E	-8.057	eV per atom



# DyTiRh4

A geometry-optimized DyTiRh4 structure (PBE-GGA, Alexandria via LeMat-Bulk).

a = 5.222 Å, b = 5.222 Å, c = 5.222 Å
α = 60.00°, β = 60.00°, γ = 60.00°
Fractional positions:
Rh 0.625 0.625 0.126
Rh 0.625 0.126 0.625
Rh 0.625 0.625 0.625
Rh 0.126 0.625 0.625
Dy 0.000 0.000 0.000
Ti 0.250 0.250 0.250

Values from the calculation:
D(E_F)	4.1	states/eV/cell
total moment	0.00	μB/cell
calculated formation energy	-11.80	kcal/mol of atoms
E	-7.496	eV per atom